MgSiTc2 (PBE-GGA, relaxed); DOS at the Fermi energy = 2.559 states/eV per cell; calculated total energy = -6.95 eV/atom; E_form (uncorrected) = -13.4 meV per atom; V = 60 Å³/f.u.; energy above the lowest structure with this stoichiometry = 103 meV per atom
1.0
-2.983 -2.814 -0.947
-0.399 -0.528 2.824
-3.595 3.283 1.566
Si Mg Tc
1 1 2
Cartesian
-4.543 0.547 3.329 Si
-2.128 1.462 2.359 Mg
-0.356 -0.412 2.345 Tc
-2.345 -0.806 0.429 Tc